[1]
This record from Alexandria describes a relaxed Ta4Al2P crystal. The functional is GGA-PBE.

Computed properties:
Energy   -8.116 eV/atom
SG   I4/mmm (139)
M_tot   0.000 μB per cell

Cell: 4.424 4.424 7.732 Å, 73.38 73.38 90.00°
Positions (direct):
Ta1 0.172 0.172 0.656
Ta2 0.828 0.828 0.344
Ta3 0.000 0.500 0.000
Ta4 0.500 0.000 0.000
Al1 0.362 0.362 0.275
Al2 0.638 0.638 0.725
P1 0.000 0.000 0.000

[2]
This record from Alexandria describes a relaxed TaAlP2 crystal. The functional is GGA-PBE.

Computed properties:
Energy   -6.542 eV/atom
SG   Cmm2 (35)
M_tot   0.000 μB per cell

Cell: 2.993 2.993 7.850 Å, 90.00 90.00 103.88°
Positions (direct):
P1 0.500 0.500 0.285
P2 0.000 0.000 0.954
Al1 0.500 0.500 0.761
Ta1 0.000 0.000 0.500